The following is a DFT calculation (PBE with a Hubbard U) of crystalline MoPb4F10 at its relaxed geometry.

Cell: 5.951 7.232 7.232 Å, 80.26 65.71 65.71°
Sites, in units of the cell vectors:
Mo 0.000 0.000 0.000
Pb 0.399 0.804 0.399
Pb 0.797 0.601 0.804
Pb 0.203 0.399 0.196
Pb 0.601 0.196 0.601
F 0.250 0.500 0.500
F 0.661 0.286 0.905
F 0.052 0.095 0.286
F 0.434 0.905 0.714
F 0.853 0.714 0.095
F 0.339 0.714 0.095
F 0.750 0.500 0.500
F 0.147 0.286 0.905
F 0.566 0.095 0.286
F 0.948 0.905 0.714

## Properties
- VASP energy: -4.9328 eV per atom
- Total magnetic moment: 4.000 μB per formula unit